# meta-GGA SCAN KVP2O7, single point on PBEsol structure
# * ρ: 3.01 g/cm³
# * E_form (uncorrected): -2615 meV/atom
data_KVP2O7
_cell_length_a 7.362
_cell_length_b 10.063
_cell_length_c 8.193
_cell_angle_alpha 90.00
_cell_angle_beta 106.63
_cell_angle_gamma 90.00
_space_group_name_H-M_alt 'P 1 21/c 1'
_space_group_IT_number 14
loop_
_space_group_symop_operation_xyz
'x,y,z'
'-x,-y,-z'
'-x,y+1/2,-z+1/2'
'x,-y+1/2,z+1/2'
loop_
_atom_site_label
_atom_site_type_symbol
_atom_site_fract_x
_atom_site_fract_y
_atom_site_fract_z
K1 K 0.176 0.175 0.054
V1 V 0.235 0.600 0.263
P1 P 0.134 0.597 0.832
P2 P 0.443 0.638 0.692
O1 O 0.001 0.005 0.222
O2 O 0.082 0.736 0.756
O3 O 0.144 0.591 0.018
O4 O 0.319 0.608 0.513
O5 O 0.343 0.561 0.818
O6 O 0.358 0.081 0.769
O7 O 0.454 0.714 0.243

# meta-GGA SCAN K2VP2O8, single point on PBEsol structure
# * ρ: 2.85 g/cm³
# * E_form (uncorrected): -2584 meV/atom
data_K2VP2O8
_cell_length_a 8.315
_cell_length_b 8.315
_cell_length_c 5.379
_cell_angle_alpha 90.00
_cell_angle_beta 90.00
_cell_angle_gamma 90.00
_space_group_name_H-M_alt 'P 4 b m'
_space_group_IT_number 100
loop_
_space_group_symop_operation_xyz
'x,y,z'
'-y,x,z'
'-x,-y,z'
'y,-x,z'
'-x+1/2,y+1/2,z'
'y+1/2,x+1/2,z'
'x+1/2,-y+1/2,z'
'-y+1/2,-x+1/2,z'
loop_
_atom_site_label
_atom_site_type_symbol
_atom_site_fract_x
_atom_site_fract_y
_atom_site_fract_z
K1 K 0.171 0.329 0.000
V1 V 0.000 0.000 0.470
P1 P 0.129 0.629 0.485
O1 O 0.000 0.000 0.768
O2 O 0.000 0.500 0.372
O3 O 0.076 0.787 0.362
O4 O 0.126 0.626 0.763

# meta-GGA SCAN KP2W6O22, single point on PBEsol structure
# * ρ: 6.02 g/cm³
# * E_form (uncorrected): -2330 meV/atom
data_KP2W6O22
_cell_length_a 6.683
_cell_length_b 5.374
_cell_length_c 11.956
_cell_angle_alpha 90.00
_cell_angle_beta 92.74
_cell_angle_gamma 90.00
_space_group_name_H-M_alt 'P 1 m 1'
_space_group_IT_number 6
loop_
_space_group_symop_operation_xyz
'x,y,z'
'x,-y,z'
loop_
_atom_site_label
_atom_site_type_symbol
_atom_site_fract_x
_atom_site_fract_y
_atom_site_fract_z
K1 K 0.000 0.000 0.000
P1 P 0.479 0.000 0.087
P2 P 0.814 0.500 0.894
W1 W 0.140 0.000 0.303
W2 W 0.153 0.500 0.681
W3 W 0.475 0.500 0.432
W4 W 0.499 0.000 0.805
W5 W 0.790 0.500 0.177
W6 W 0.817 0.000 0.552
O1 O 0.001 0.500 0.825
O2 O 0.294 0.000 0.158
O3 O 0.302 0.250 0.361
O4 O 0.317 0.500 0.561
O5 O 0.329 0.248 0.759
O6 O 0.395 0.000 0.963
O7 O 0.606 0.234 0.108
O8 O 0.640 0.500 0.299
O9 O 0.646 0.250 0.491
O10 O 0.651 0.000 0.683
O11 O 0.694 0.261 0.874
O12 O 0.897 0.500 0.018
O13 O 0.963 0.251 0.222
O14 O 0.974 0.000 0.422
O15 O 0.990 0.250 0.622

# meta-GGA SCAN KYP4O12, single point on PBEsol structure
# * ρ: 3.13 g/cm³
# * E_form (uncorrected): -2736 meV/atom
data_KYP4O12
_cell_length_a 7.832
_cell_length_b 12.353
_cell_length_c 10.440
_cell_angle_alpha 90.00
_cell_angle_beta 111.07
_cell_angle_gamma 90.00
_space_group_name_H-M_alt 'C 1 2/c 1'
_space_group_IT_number 15
loop_
_space_group_symop_operation_xyz
'x,y,z'
'-x,-y,-z'
'-x,y,-z+1/2'
'x,-y,z+1/2'
'x+1/2,y+1/2,z'
'-x+1/2,-y+1/2,-z'
'-x+1/2,y+1/2,-z+1/2'
'x+1/2,-y+1/2,z+1/2'
loop_
_atom_site_label
_atom_site_type_symbol
_atom_site_fract_x
_atom_site_fract_y
_atom_site_fract_z
K1 K 0.000 0.185 0.250
Y1 Y 0.000 0.119 0.750
P1 P 0.044 0.329 0.997
P2 P 0.221 0.475 0.442
O1 O 0.055 0.242 0.603
O2 O 0.069 0.430 0.910
O3 O 0.099 0.370 0.434
O4 O 0.146 0.012 0.414
O5 O 0.215 0.031 0.676
O6 O 0.215 0.300 0.115

# meta-GGA SCAN K2YZrP3O12, single point on PBEsol structure
# * ρ: 3.25 g/cm³
# * E_form (uncorrected): -3041 meV/atom
data_K2YZrP3O12
_cell_length_a 10.359
_cell_length_b 10.359
_cell_length_c 10.359
_cell_angle_alpha 90.00
_cell_angle_beta 90.00
_cell_angle_gamma 90.00
_space_group_name_H-M_alt 'P 21 3'
_space_group_IT_number 198
_space_group_name_Hall 'P 2ac 2ab 3'
loop_
_atom_site_label
_atom_site_type_symbol
_atom_site_fract_x
_atom_site_fract_y
_atom_site_fract_z
K1 K 0.068 0.068 0.068
K2 K 0.196 0.696 0.804
Y1 Y 0.146 0.354 0.646
Zr1 Zr 0.088 0.912 0.412
P1 P 0.033 0.727 0.130
O1 O 0.006 0.083 0.353
O2 O 0.025 0.790 0.266
O3 O 0.044 0.936 0.799
O4 O 0.075 0.170 0.735

# meta-GGA SCAN KZn4P3O12, single point on PBEsol structure
# * ρ: 3.56 g/cm³
# * E_form (uncorrected): -2239 meV/atom
data_KZn4P3O12
_cell_length_a 8.176
_cell_length_b 13.886
_cell_length_c 9.633
_cell_angle_alpha 90.00
_cell_angle_beta 90.00
_cell_angle_gamma 90.00
_space_group_name_H-M_alt 'P c c n'
_space_group_IT_number 56
loop_
_space_group_symop_operation_xyz
'x,y,z'
'-x,-y,-z'
'-x+1/2,-y+1/2,z'
'x+1/2,y+1/2,-z'
'x+1/2,-y,-z+1/2'
'-x+1/2,y,z+1/2'
'-x,y+1/2,-z+1/2'
'x,-y+1/2,z+1/2'
loop_
_atom_site_label
_atom_site_type_symbol
_atom_site_fract_x
_atom_site_fract_y
_atom_site_fract_z
K1 K 0.250 0.250 0.194
Zn1 Zn 0.087 0.645 0.496
Zn2 Zn 0.106 0.551 0.192
P1 P 0.246 0.065 0.434
P2 P 0.250 0.750 0.254
O1 O 0.096 0.738 0.343
O2 O 0.117 0.088 0.323
O3 O 0.131 0.150 0.935
O4 O 0.160 0.530 0.391
O5 O 0.171 0.053 0.578
O6 O 0.237 0.660 0.655

# meta-GGA SCAN K2ZnP2O7, single point on PBEsol structure
# * ρ: 3.01 g/cm³
# * E_form (uncorrected): -2433 meV/atom
data_K2ZnP2O7
_cell_length_a 7.877
_cell_length_b 7.877
_cell_length_c 11.280
_cell_angle_alpha 90.00
_cell_angle_beta 90.00
_cell_angle_gamma 90.00
_space_group_name_H-M_alt 'P 42/m n m'
_space_group_IT_number 136
_space_group_name_Hall '-P 4n 2n'
loop_
_atom_site_label
_atom_site_type_symbol
_atom_site_fract_x
_atom_site_fract_y
_atom_site_fract_z
K1 K 0.150 0.150 0.000
K2 K 0.184 0.184 0.500
Zn1 Zn 0.000 0.500 0.250
P1 P 0.137 0.863 0.282
O1 O 0.000 0.000 0.334
O2 O 0.079 0.696 0.341
O3 O 0.136 0.864 0.149

# meta-GGA SCAN KZr2P3O12, single point on PBEsol structure
# * ρ: 3.16 g/cm³
# * E_form (uncorrected): -3037 meV/atom
data_KZr2P3O12
_cell_length_a 8.7905
_cell_length_b 8.7905
_cell_length_c 23.8963
_cell_angle_alpha 90.00
_cell_angle_beta 90.00
_cell_angle_gamma 120.00
_space_group_name_H-M_alt 'R -3 c'
_space_group_IT_number 167
_space_group_name_Hall '-R 3 2"c'
loop_
_atom_site_label
_atom_site_type_symbol
_atom_site_fract_x
_atom_site_fract_y
_atom_site_fract_z
K1 K 0.0000 0.0000 0.0000
Zr1 Zr 0.0000 0.0000 0.1488
P1 P 0.0000 0.2869 0.2500
O1 O 0.0257 0.1979 0.9050
O2 O 0.0393 0.2082 0.1982